(w)
## AlMo3Os (PBE)

Data for a geometry-optimized AlMo3Os structure.

The density of states at the Fermi level comes out at 6.187 states/eV per cell.

The structure belongs to space group Pm-3m (No. 221); the cell edges are 4.730, 4.730 and 4.730 Å and the angles 90.00°, 90.00° and 90.00°. The inequivalent atoms are Al at (0.000, 0.000, 0.000), Mo at (0.000, 0.500, 0.500) and Os at (0.500, 0.500, 0.500).

(x)
## AlMo3Os (PBE)

Data for a geometry-optimized AlMo3Os structure.

The density of states at the Fermi level comes out at 5.734 states/eV per cell.

The structure belongs to space group Pm-3m (No. 221); the cell edges are 4.432, 4.432 and 4.432 Å and the angles 90.00°, 90.00° and 90.00°. The inequivalent atoms are Al at (0.000, 0.000, 0.000), Mo at (0.000, 0.000, 0.500) and Os at (0.500, 0.500, 0.500).

Stability ranking, top and bottom: (w) is the most stable and (x) is the least stable.

(w)
## AlMoP2 (PBE)

Data for a geometry-optimized AlMoP2 structure.

The density of states at the Fermi level comes out at 10.030 states/eV per cell.

The structure belongs to space group F-43m (No. 216); the cell edges are 6.138, 6.138 and 6.138 Å and the angles 90.00°, 90.00° and 90.00°. The inequivalent atoms are Al at (0.000, 0.000, 0.000), Mo at (0.250, 0.250, 0.750), P at (0.000, 0.000, 0.500) and P at (0.250, 0.250, 0.250).

(x)
## AlMoP2 (PBE)

Data for a geometry-optimized AlMoP2 structure.

The density of states at the Fermi level comes out at 2.102 states/eV per cell.

The structure belongs to space group Cmm2 (No. 35); the cell edges are 3.335, 4.484 and 9.481 Å and the angles 90.00°, 90.00° and 90.00°. The inequivalent atoms are Al at (0.000, 0.000, 0.000), Mo at (0.000, 0.500, 0.775), P at (0.000, 0.000, 0.587) and P at (0.000, 0.500, 0.194).

(y)
## AlMoP2 (PBE)

Data for a geometry-optimized AlMoP2 structure.

The density of states at the Fermi level comes out at 1.340 states/eV per cell.

The structure belongs to space group P2/m (No. 10); the cell edges are 3.142, 3.143 and 6.003 Å and the angles 90.00°, 100.22° and 90.00°. The inequivalent atoms are Al at (0.000, 0.000, 0.000), Mo at (0.000, 0.000, 0.500) and P at (0.426, 0.500, 0.272).

Stability ranking, top and bottom: (y) is the most stable and (w) is the least stable.

(w)
## AlMo2P (PBE)

Data for a geometry-optimized AlMo2P structure.

The density of states at the Fermi level comes out at 2.527 states/eV per cell.

The structure belongs to space group Pmmm (No. 47); the cell edges are 3.274, 4.014 and 4.483 Å and the angles 90.00°, 90.00° and 90.00°. The inequivalent atoms are Al at (0.000, 0.000, 0.000), Mo at (0.000, 0.500, 0.500), Mo at (0.500, 0.500, 0.000) and P at (0.500, 0.000, 0.500).

(x)
## AlMo2P (PBE)

Data for a geometry-optimized AlMo2P structure.

The density of states at the Fermi level comes out at 4.161 states/eV per cell.

The structure belongs to space group P4/mmm (No. 123); the cell edges are 2.984, 2.984 and 6.640 Å and the angles 90.00°, 90.00° and 90.00°. The inequivalent atoms are Al at (0.000, 0.000, 0.000), Mo at (0.500, 0.500, 0.290) and P at (0.000, 0.000, 0.500).

Stability ranking, top and bottom: (x) is the most stable and (w) is the least stable.

(w)
## AlMo2P (PBE)

Data for a geometry-optimized AlMo2P structure.

The density of states at the Fermi level comes out at 3.860 states/eV per cell.

The structure belongs to space group Cm (No. 8); the cell edges are 8.961, 3.076 and 4.403 Å and the angles 90.00°, 106.11° and 90.00°. The inequivalent atoms are Al at (0.000, 0.000, 0.000), Mo at (0.252, 0.000, 0.827), Mo at (0.476, 0.000, 0.476) and P at (0.244, 0.500, 0.331).

(x)
## AlMo2P (PBE)

Data for a geometry-optimized AlMo2P structure.

The density of states at the Fermi level comes out at 5.908 states/eV per cell.

The structure belongs to space group I-4m2 (No. 119); the cell edges are 3.727, 3.727 and 8.376 Å and the angles 90.00°, 90.00° and 90.00°. The inequivalent atoms are Al at (0.000, 0.000, 0.000), Mo at (0.000, 0.000, 0.500), Mo at (0.000, 0.500, 0.750) and P at (0.000, 0.500, 0.250).

(y)
## AlMo2P (PBE)

Data for a geometry-optimized AlMo2P structure.

The density of states at the Fermi level comes out at 6.255 states/eV per cell.

The structure belongs to space group C2/m (No. 12); the cell edges are 5.543, 8.004 and 2.870 Å and the angles 90.00°, 111.24° and 90.00°. The inequivalent atoms are Al at (0.000, 0.000, 0.000), Mo at (0.250, 0.250, 0.500) and P at (0.000, 0.500, 0.000).

(z)
## AlMo2P (PBE)

Data for a geometry-optimized AlMo2P structure.

The density of states at the Fermi level comes out at 4.311 states/eV per cell.

The structure belongs to space group P4/mmm (No. 123); the cell edges are 4.270, 4.270 and 3.158 Å and the angles 90.00°, 90.00° and 90.00°. The inequivalent atoms are Al at (0.000, 0.000, 0.000), Mo at (0.000, 0.500, 0.500) and P at (0.500, 0.500, 0.000).

Stability ranking, top and bottom: (w) is the most stable and (y) is the least stable.

(w)
## Al3MoP (PBE)

Data for a geometry-optimized Al3MoP structure.

The density of states at the Fermi level comes out at 3.709 states/eV per cell.

The structure belongs to space group Pm-3m (No. 221); the cell edges are 4.520, 4.520 and 4.520 Å and the angles 90.00°, 90.00° and 90.00°. The inequivalent atoms are Al at (0.000, 0.000, 0.500), Mo at (0.500, 0.500, 0.500) and P at (0.000, 0.000, 0.000).

(x)
## Al3MoP (PBE)

Data for a geometry-optimized Al3MoP structure.

The density of states at the Fermi level comes out at 3.538 states/eV per cell.

The structure belongs to space group Pm-3m (No. 221); the cell edges are 4.817, 4.817 and 4.817 Å and the angles 90.00°, 90.00° and 90.00°. The inequivalent atoms are Al at (0.000, 0.000, 0.500), Mo at (0.000, 0.000, 0.000) and P at (0.500, 0.500, 0.500).

Stability ranking, top and bottom: (w) is the most stable and (x) is the least stable.

(w)
## Al2Mo2P (PBE)

Data for a geometry-optimized Al2Mo2P structure.

The density of states at the Fermi level comes out at 6.547 states/eV per cell.

The structure belongs to space group P4/mbm (No. 127); the cell edges are 6.417, 6.417 and 3.831 Å and the angles 90.00°, 90.00° and 90.00°. The inequivalent atoms are Al at (0.142, 0.358, 0.000), Mo at (0.165, 0.665, 0.500) and P at (0.000, 0.000, 0.500).

(x)
## Al2Mo2P (PBE)

Data for a geometry-optimized Al2Mo2P structure.

The density of states at the Fermi level comes out at 6.496 states/eV per cell.

The structure belongs to space group I4/mmm (No. 139); the cell edges are 3.388, 3.388 and 13.796 Å and the angles 90.00°, 90.00° and 90.00°. The inequivalent atoms are Al at (0.000, 0.500, 0.250), Mo at (0.000, 0.000, 0.094) and P at (0.000, 0.000, 0.500).

Stability ranking, top and bottom: (w) is the most stable and (x) is the least stable.